No. 1
VASP calculation (SCAN) on a crystal of CoCu2Te relaxed with PBEsol.

It has space group P4mm (No. 99), with a = 3.245 Å, b = 3.245 Å, c = 5.290 Å, α = 90.00°, β = 90.00° and γ = 90.00°. The asymmetric unit holds Co at (0.000, 0.000, 0.000), Cu at (0.000, 0.000, 0.464), Cu at (0.500, 0.500, 0.274) and Te at (0.500, 0.500, 0.788).

The value obtained for the uncorrected formation energy is 0.32 eV per atom. The total energy comes out at -83.7 eV/cell. The value obtained for the mass density is 9.3 g/cm³. The value obtained for the density of states at the Fermi level is 2.4 states/eV/f.u.

No. 2
VASP calculation (SCAN) on a crystal of ScTlHg2 relaxed with PBEsol.

It has space group C2/m (No. 12), with a = 10.139 Å, b = 3.449 Å, c = 5.304 Å, α = 90.00°, β = 103.93° and γ = 90.00°. The asymmetric unit holds Sc at (0.000, 0.000, 0.000), Tl at (0.000, 0.500, 0.500) and Hg at (0.242, 0.500, 0.234).

The total energy comes out at -447.9 eV/cell. The value obtained for the mass density is 12.0 g/cm³. The calculation puts the formation energy at -0.26 eV per atom. The value obtained for the density of states at the Fermi level is 1.8 states/eV/f.u.

No. 3
VASP calculation (SCAN) on a crystal of YTlAs2 relaxed with PBEsol.

It has space group Fm-3m (No. 225), with a = 7.137 Å, b = 7.137 Å, c = 7.137 Å, α = 90.00°, β = 90.00° and γ = 90.00°. The asymmetric unit holds Y at (0.000, 0.000, 0.000), Tl at (0.000, 0.000, 0.500) and As at (0.250, 0.250, 0.250).

The total energy comes out at -568.1 eV/cell. The value obtained for the mass density is 8.1 g/cm³. The calculation puts the formation energy at -0.36 eV per atom. The value obtained for the density of states at the Fermi level is 3.0 states/eV/f.u. The value obtained for the energy relative to the lowest polymorph listed for this composition is 0.325 eV per atom.

No. 4
VASP calculation (SCAN) on a crystal of RbTmMnSe3 relaxed with PBEsol.

It has space group Cmcm (No. 63), with a = 4.095 Å, b = 15.095 Å, c = 10.729 Å, α = 90.00°, β = 90.00° and γ = 90.00°. The asymmetric unit holds Rb at (0.000, 0.244, 0.250), Tm at (0.000, 0.500, 0.000), Mn at (0.000, 0.038, 0.750), Se at (0.000, 0.123, 0.556) and Se at (0.000, 0.439, 0.750).

The value obtained for the uncorrected formation energy is -1.64 eV per atom. The total energy comes out at -643.5 eV/cell. The value obtained for the mass density is 5.5 g/cm³.

No. 5
VASP calculation (SCAN) on a crystal of TaTl relaxed with PBEsol.

It has space group Fm-3m (No. 225), with a = 5.598 Å, b = 5.598 Å, c = 5.598 Å, α = 90.00°, β = 90.00° and γ = 90.00°. The asymmetric unit holds Ta at (0.000, 0.000, 0.000) and Tl at (0.000, 0.000, 0.500).

The total energy comes out at -547.2 eV/cell. The value obtained for the mass density is 14.6 g/cm³. The calculation puts the formation energy at 1.07 eV per atom. The value obtained for the density of states at the Fermi level is 0.6 states/eV/f.u. The value obtained for the energy relative to the lowest polymorph listed for this composition is 0.525 eV per atom.

No. 6
VASP calculation (SCAN) on a crystal of Ti2MnRh relaxed with PBEsol.

It has space group Fm-3m (No. 225), with a = 5.994 Å, b = 5.994 Å, c = 5.994 Å, α = 90.00°, β = 90.00° and γ = 90.00°. The asymmetric unit holds Ti at (0.250, 0.250, 0.250), Mn at (0.000, 0.000, 0.000) and Rh at (0.000, 0.000, 0.500).

The total energy comes out at -347.4 eV/cell. The value obtained for the mass density is 7.8 g/cm³. The calculation puts the formation energy at -0.69 eV per atom. The value obtained for the density of states at the Fermi level is 0.8 states/eV/f.u.